Below is an optimized crystal structure of CaNd3Er, with properties calculated at the PBE-GGA level.

Properties
- DOS(E_F) (states/eV/cell) = 16.8
- formation enthalpy at 0 K (eV per atom) = 0.095
- magnetic moment (Bohr magnetons per cell) = 0.00

abc: 9.738 9.738 7.261
angles: 111.81 111.81 33.57
Fractional positions:
Ca (0.109, 0.109, 0.108)
Ca (0.891, 0.891, 0.892)
Nd (0.108, 0.108, 0.611)
Nd (0.298, 0.298, 0.550)
Nd (0.498, 0.498, 0.738)
Nd (0.502, 0.502, 0.262)
Nd (0.702, 0.702, 0.450)
Nd (0.892, 0.892, 0.389)
Er (0.300, 0.300, 0.054)
Er (0.700, 0.700, 0.946)

---

Below is an optimized crystal structure of CaNdEr, with properties calculated at the PBE-GGA level.

Properties
- DOS(E_F) (states/eV/cell) = 8.5
- formation enthalpy at 0 K (eV per atom) = 0.054
- magnetic moment (Bohr magnetons per cell) = 0.00

abc: 3.674 3.674 15.668
angles: 90.00 90.00 90.00
Fractional positions:
Ca (0.000, 0.000, 0.000)
Ca (0.500, 0.500, 0.500)
Nd (0.000, 0.000, 0.679)
Nd (0.500, 0.500, 0.179)
Er (0.000, 0.000, 0.327)
Er (0.500, 0.500, 0.827)

---

Below is an optimized crystal structure of CaNd2Er, with properties calculated at the PBE-GGA level.

Properties
- DOS(E_F) (states/eV/cell) = 5.7
- formation enthalpy at 0 K (eV per atom) = 0.097
- magnetic moment (Bohr magnetons per cell) = 0.00

abc: 5.257 5.257 5.034
angles: 90.00 90.00 90.00
Fractional positions:
Ca (0.000, 0.000, 0.000)
Nd (0.000, 0.500, 0.500)
Nd (0.500, 0.000, 0.500)
Er (0.500, 0.500, 0.000)

---

Below is an optimized crystal structure of Ca2Nd2Er, with properties calculated at the PBE-GGA level.

Properties
- DOS(E_F) (states/eV/cell) = 14.2
- formation enthalpy at 0 K (eV per atom) = 0.383
- magnetic moment (Bohr magnetons per cell) = 0.00

abc: 4.608 4.608 17.672
angles: 90.00 90.00 90.00
Fractional positions:
Ca (0.000, 0.500, 0.250)
Ca (0.000, 0.500, 0.750)
Ca (0.500, 0.000, 0.250)
Ca (0.500, 0.000, 0.750)
Nd (0.000, 0.000, 0.088)
Nd (0.000, 0.000, 0.912)
Nd (0.500, 0.500, 0.412)
Nd (0.500, 0.500, 0.588)
Er (0.000, 0.000, 0.500)
Er (0.500, 0.500, 0.000)